Record 1
Compound: Dy12Cd6Co
Source: Alexandria
Functional: GGA-PBE
Structure: relaxed

Computed properties:
- Space group: R-3
- Crystal system: trigonal
- Formation energy from the elements: -0.091 eV per atom

Lattice parameters (Å, degrees): 8.210 8.210 8.210 94.60 94.60 94.60
Fractional positions:
Dy  0.038  0.703  0.926
Dy  0.074  0.962  0.297
Dy  0.191  0.524  0.410
Dy  0.297  0.074  0.962
Dy  0.410  0.191  0.524
Dy  0.476  0.590  0.809
Dy  0.524  0.410  0.191
Dy  0.590  0.809  0.476
Dy  0.703  0.926  0.038
Dy  0.809  0.476  0.590
Dy  0.926  0.038  0.703
Dy  0.962  0.297  0.074
Cd  0.152  0.359  0.760
Cd  0.240  0.848  0.641
Cd  0.359  0.760  0.152
Cd  0.641  0.240  0.848
Cd  0.760  0.152  0.359
Cd  0.848  0.641  0.240
Co  0.500  0.500  0.500

=====

Record 2
Compound: Dy4CdCo
Source: Alexandria
Functional: GGA-PBE
Structure: relaxed

Computed properties:
- Space group: C2/c
- Crystal system: monoclinic
- Formation energy from the elements: -0.184 eV per atom

Lattice parameters (Å, degrees): 7.634 7.634 6.035 99.47 99.47 109.88
Fractional positions:
Dy  0.059  0.732  0.957
Dy  0.200  0.369  0.607
Dy  0.268  0.941  0.543
Dy  0.369  0.200  0.107
Dy  0.631  0.800  0.893
Dy  0.732  0.059  0.457
Dy  0.800  0.631  0.393
Dy  0.941  0.268  0.043
Cd  0.375  0.625  0.250
Cd  0.625  0.375  0.750
Co  0.001  0.999  0.750
Co  0.999  0.001  0.250

=====

Record 3
Compound: DyCdCo
Source: Alexandria
Functional: GGA-PBE
Structure: relaxed

Computed properties:
- Space group: C2/m
- Crystal system: monoclinic
- Formation energy from the elements: -0.050 eV per atom

Lattice parameters (Å, degrees): 4.581 4.581 7.560 107.65 107.65 59.95
Fractional positions:
Dy  0.249  0.249  0.246
Dy  0.751  0.751  0.754
Cd  0.000  0.000  0.500
Cd  0.500  0.500  0.000
Co  0.372  0.372  0.617
Co  0.628  0.628  0.383

=====

Results for total energy: -3.660, -4.588, -4.258 (in eV per atom, following the order of the records).
Results for spin magnetization: 0.000, 0.000, 0.000 (in Bohr magnetons per cell, following the order of the records).
Results for calculated volume: 548, 317, 129 (in Å³ per cell, following the order of the records).